No. 1
Material: MnTl
Method: DFT, PBE-GGA
State: optimized geometry

## Properties
Total moment = 3.8 μB/f.u.
Calculated total energy = -20.91 eV/cell
Formation energy = 0.541 eV per atom

Unit cell a=4.996 b=3.170 c=5.081 alpha=90.00 beta=90.00 gamma=90.00
Space group Pmma (No. 51)
Unique sites:
Mn  0.250  0.000  0.185 [2 per cell]
Tl  0.250  0.500  0.704 [2 per cell]

---

No. 2
Material: Mn2Tl
Method: DFT, PBE-GGA
State: optimized geometry

## Properties
Total moment = 8.3 μB/f.u.
Calculated total energy = -72.69 eV/cell
Formation energy = 0.844 eV per atom

Unit cell a=6.456 b=6.456 c=6.456 alpha=90.00 beta=90.00 gamma=90.00
Space group Fm-3m (No. 225)
Unique sites:
Mn  0.250  0.250  0.250 [8 per cell]
Tl  0.000  0.000  0.000 [4 per cell]

---

No. 3
Material: Mn3Tl
Method: DFT, PBE-GGA
State: optimized geometry

## Properties
Total moment = 3.7 μB/f.u.
Calculated total energy = -54.76 eV/cell
Formation energy = 0.624 eV per atom

Unit cell a=8.650 b=2.868 c=4.821 alpha=90.00 beta=102.94 gamma=90.00
Space group C2/m (No. 12)
Unique sites:
Mn  0.000  0.000  0.000 [2 per cell]
Mn  0.235  0.500  0.175 [4 per cell]
Tl  0.000  0.500  0.500 [2 per cell]

---

No. 4
Material: MnTl
Method: DFT, PBE-GGA
State: optimized geometry

## Properties
Total moment = 3.7 μB/f.u.
Calculated total energy = -62.91 eV/cell
Formation energy = 0.526 eV per atom

Unit cell a=4.576 b=9.246 c=5.861 alpha=90.00 beta=90.00 gamma=90.00
Space group Pmmn (No. 59, origin choice 2)
Unique sites:
Mn  0.250  0.105  0.061 [4 per cell]
Mn  0.250  0.250  0.506 [2 per cell]
Tl  0.250  0.571  0.655 [4 per cell]
Tl  0.250  0.750  0.159 [2 per cell]

---

No. 5
Material: Mn3Tl
Method: DFT, PBE-GGA
State: optimized geometry

## Properties
Total moment = 10.1 μB/f.u.
Calculated total energy = -27.89 eV/cell
Formation energy = 0.497 eV per atom

Unit cell a=4.016 b=4.016 c=4.016 alpha=90.00 beta=90.00 gamma=90.00
Space group Pm-3m (No. 221)
Unique sites:
Mn  0.000  0.000  0.500 [3 per cell]
Tl  0.500  0.500  0.500 [1 per cell]

---

No. 6
Material: MnTl3
Method: DFT, PBE-GGA
State: optimized geometry

## Properties
Total moment = 4.1 μB/f.u.
Calculated total energy = -29.38 eV/cell
Formation energy = 0.395 eV per atom

Unit cell a=5.026 b=6.691 c=6.255 alpha=90.00 beta=90.00 gamma=90.00
Space group Pmmn (No. 59, origin choice 2)
Unique sites:
Mn  0.250  0.250  0.222 [2 per cell]
Tl  0.250  0.003  0.662 [4 per cell]
Tl  0.250  0.750  0.112 [2 per cell]

---

No. 7
Material: MnTl2
Method: DFT, PBE-GGA
State: optimized geometry

## Properties
Total moment = 0.0 μB/f.u.
Calculated total energy = -49.53 eV/cell
Formation energy = 0.506 eV per atom

Unit cell a=12.244 b=3.297 c=8.459 alpha=90.00 beta=123.40 gamma=90.00
Space group C2/m (No. 12)
Unique sites:
Mn  0.214  0.000  0.032 [4 per cell]
Tl  0.018  0.500  0.209 [4 per cell]
Tl  0.168  0.000  0.632 [4 per cell]

---

No. 8
Material: MnTl
Method: DFT, PBE-GGA
State: optimized geometry

## Properties
Total moment = 3.7 μB/f.u.
Calculated total energy = -63.35 eV/cell
Formation energy = 0.489 eV per atom

Unit cell a=9.472 b=3.112 c=9.630 alpha=90.00 beta=111.44 gamma=90.00
Space group C2/m (No. 12)
Unique sites:
Mn  0.000  0.000  0.000 [2 per cell]
Mn  0.177  0.500  0.883 [4 per cell]
Tl  0.000  0.000  0.500 [2 per cell]
Tl  0.153  0.500  0.271 [4 per cell]